No. 1
Crystalline Cd2Ga2Cu15 at its relaxed geometry. Source: Alexandria, functional PBE.

a = 6.4627 Å, b = 6.4627 Å, c = 6.4627 Å
α = 82.11°, β = 82.11°, γ = 82.11°
With the nearest neighbours (Å) after each atom.
Fractional coordinates of all 19 atoms:
Cu: 0.0000 0.3169 0.6831  8 Cu 2.50-2.69
Cu: 0.0000 0.6831 0.3169  8 Cu 2.50-2.69
Cu: 0.6831 0.3169 0.0000  8 Cu 2.50-2.69
Cu: 0.3169 0.0000 0.6831  8 Cu 2.50-2.69
Cu: 0.3411 0.8371 0.3411  8 Cu 2.44-2.57, 1 Ga 2.61
Cu: 0.5000 0.0000 0.0000  8 Cu 2.46-2.50, 2 Ga 2.56
Cu: 0.0000 0.0000 0.5000  8 Cu 2.46-2.50, 2 Ga 2.56
Cu: 0.6589 0.6589 0.1629  8 Cu 2.44-2.57, 1 Ga 2.61
Cu: 0.6831 0.0000 0.3169  8 Cu 2.50-2.69
Cu: 0.1629 0.6589 0.6589  8 Cu 2.44-2.57, 1 Ga 2.61
Cu: 0.8371 0.3411 0.3411  8 Cu 2.44-2.57, 1 Ga 2.61
Cu: 0.3411 0.3411 0.8371  8 Cu 2.44-2.57, 1 Ga 2.61
Cu: 0.0000 0.5000 0.0000  8 Cu 2.46-2.50, 2 Ga 2.56
Cu: 0.6589 0.1629 0.6589  8 Cu 2.44-2.57, 1 Ga 2.61
Cu: 0.3169 0.6831 0.0000  8 Cu 2.50-2.69
Ga: 0.8926 0.8926 0.8926  6 Cu 2.56-2.61, 1 Ga 2.71
Ga: 0.1074 0.1074 0.1074  6 Cu 2.56-2.61, 1 Ga 2.71
Cd: 0.3612 0.3612 0.3612  12 Cu 2.92-3.05, 1 Ga 3.21
Cd: 0.6388 0.6388 0.6388  12 Cu 2.92-3.05, 1 Ga 3.21

**SG**: R-3m
**Energy of formation**: 0.03 eV per atom

No. 2
Crystalline Nd3SnH at its relaxed geometry. Source: Alexandria, functional PBE.

a = 8.4684 Å, b = 7.6402 Å, c = 8.4893 Å
α = 109.58°, β = 90.00°, γ = 90.00°
With the nearest neighbours (Å) after each atom.
Fractional coordinates of all 20 atoms:
Sn: 0.0855 0.3133 0.7285  9 Nd 3.25-3.43, 1 H 3.45
Sn: 0.5855 0.6867 0.7715  9 Nd 3.25-3.43, 1 H 3.45
Sn: 0.9145 0.6867 0.2715  9 Nd 3.25-3.43, 1 H 3.45
Sn: 0.4145 0.3133 0.2285  9 Nd 3.25-3.43, 1 H 3.45
Nd: 0.3289 0.0215 0.8473  2 H 2.41
Nd: 0.3146 0.6098 0.0240  1 H 2.73
Nd: 0.6711 0.9785 0.1527  2 H 2.41
Nd: 0.9631 0.7396 0.9052  2 H 2.37-2.62
Nd: 0.8289 0.9785 0.6527  2 H 2.41
Nd: 0.4631 0.2604 0.5948  2 H 2.37-2.62
Nd: 0.5369 0.7396 0.4052  2 H 2.37-2.62
Nd: 0.0369 0.2604 0.0948  2 H 2.37-2.62
Nd: 0.1854 0.6098 0.5240  1 H 2.73
Nd: 0.6854 0.3902 0.9760  1 H 2.73
Nd: 0.1711 0.0215 0.3473  2 H 2.41
Nd: 0.8146 0.3902 0.4760  1 H 2.73
H: 0.1708 0.9371 0.0467  4 Nd 2.37-2.62
H: 0.3292 0.9371 0.5467  4 Nd 2.37-2.62
H: 0.8292 0.0629 0.9533  4 Nd 2.37-2.62
H: 0.6708 0.0629 0.4533  4 Nd 2.37-2.62

**Offset from the most stable computed form**: 25 meV/atom
**SG**: P2_1/c

Computed mass density, in the same sequence as the records: 8.32, 7.09 g/cm3.